# Er2MgHg5 PBE optimized geometry
# Final energy in eV per atom: -1.87
data_Er2MgHg5
_chemical_formula_sum 'Er4 Mg2 Hg10'
_cell_length_a 4.958
_cell_length_b 6.793
_cell_length_c 10.951
_cell_angle_alpha 90.00
_cell_angle_beta 90.00
_cell_angle_gamma 90.00
_symmetry_space_group_name_H-M 'A m m 2'
_symmetry_Int_Tables_number 38
_symmetry_space_group_name_Hall 'A 2 -2'
loop_
_atom_site_label
_atom_site_type_symbol
_atom_site_fract_x
_atom_site_fract_y
_atom_site_fract_z
Er1 Er 0.000 0.000 0.000
Er2 Er 0.500 0.000 0.314
Mg1 Mg 0.500 0.000 0.792
Hg1 Hg 0.000 0.000 0.490
Hg2 Hg 0.000 0.237 0.747
Hg3 Hg 0.500 0.244 0.059

# PrGa2PtAu PBE optimized geometry
# Offset from the most stable computed form in meV per atom: 45
data_PrGa2PtAu
_chemical_formula_sum 'Pr2 Ga4 Pt2 Au2'
_cell_length_a 4.365
_cell_length_b 4.365
_cell_length_c 10.599
_cell_angle_alpha 90.00
_cell_angle_beta 90.00
_cell_angle_gamma 90.00
_symmetry_space_group_name_H-M 'P 4/n m m'
_symmetry_Int_Tables_number 129
loop_
_symmetry_equiv_pos_as_xyz
'x,y,z'
'-x,-y,-z'
'-y+1/2,x,z'
'y+1/2,-x,-z'
'-x+1/2,-y+1/2,z'
'x+1/2,y+1/2,-z'
'y,-x+1/2,z'
'-y,x+1/2,-z'
'x+1/2,-y,-z'
'-x+1/2,y,z'
'-y,-x,-z'
'y,x,z'
'-x,y+1/2,-z'
'x,-y+1/2,z'
'y+1/2,x+1/2,-z'
'-y+1/2,-x+1/2,z'
loop_
_atom_site_label
_atom_site_type_symbol
_atom_site_fract_x
_atom_site_fract_y
_atom_site_fract_z
Pr1 Pr 0.250 0.250 0.246
Ga1 Ga 0.250 0.250 0.878
Ga2 Ga 0.250 0.750 0.500
Pt1 Pt 0.250 0.750 0.000
Au1 Au 0.250 0.250 0.639